The following is a PBE calculation of crystalline Zn2Sn2Pd at its relaxed geometry, from Alexandria via LeMat-Bulk.

```
5
Lattice="3.456 0.000 0.000 0.000 3.456 0.000 1.728 1.728 8.758" Properties=species:S:1:pos:R:3 pbc="T T T"
Pd 0.000 0.000 0.000
Sn 1.728 1.728 1.627
Sn 3.456 3.456 7.131
Zn 3.456 1.728 4.379
Zn 1.728 3.456 4.379
```

Summary:
E_tot   -15.85 eV per formula unit
Formation enthalpy at 0 K   -10 kJ/mol of formula units
SG   No. 139